1.
A relaxed Nd3Y3TmS8 crystal. Source: the Alexandria database, functional PBE-GGA.

ΔE_f (raw) (eV per atom): -2.05
Total magnetic moment (Bohr magnetons per cell): 0.0

```
data_Nd3Y3TmS8
_chemical_formula_sum 'Nd9 Y9 Tm3 S24'
_space_group_name_H-M_alt 'R -3 m'
_space_group_IT_number 166
_space_group_name_Hall '-R 3 2"'
_cell_length_a 7.9165
_cell_length_b 7.9165
_cell_length_c 19.6964
_cell_angle_alpha 90.00
_cell_angle_beta 90.00
_cell_angle_gamma 120.00
loop_
_atom_site_label
_atom_site_fract_x
_atom_site_fract_y
_atom_site_fract_z
_atom_site_occupancy
Nd1 0.0000 0.5000 0.0000 1
Y1 0.0000 0.5000 0.5000 1
Tm1 0.0000 0.0000 0.5000 1
S1 0.0000 0.0000 0.2454 1
S2 0.0028 0.5014 0.2449 1
```

2.
A relaxed ZnGa2Cu3 crystal. Source: the Alexandria database, functional PBE-GGA.

Calculated formation energy (eV/atom): -0.017
Total magnetic moment (Bohr magnetons per cell): 0.0

```
data_ZnGa2Cu3
_chemical_formula_sum 'Zn4 Ga8 Cu12'
_space_group_name_H-M_alt 'C 1 2/c 1'
_space_group_IT_number 15
_cell_length_a 12.1573
_cell_length_b 5.4798
_cell_length_c 5.2556
_cell_angle_alpha 90.00
_cell_angle_beta 102.62
_cell_angle_gamma 90.00
loop_
_space_group_symop_operation_xyz
'x,y,z'
'-x,-y,-z'
'-x,y,-z+1/2'
'x,-y,z+1/2'
'x+1/2,y+1/2,z'
'-x+1/2,-y+1/2,-z'
'-x+1/2,y+1/2,-z+1/2'
'x+1/2,-y+1/2,z+1/2'
loop_
_atom_site_label
_atom_site_fract_x
_atom_site_fract_y
_atom_site_fract_z
_atom_site_occupancy
Zn1 0.0000 0.2276 0.2500 1
Ga1 0.1627 0.4976 0.5811 1
Cu1 0.0000 0.2580 0.7500 1
Cu2 0.1529 0.9996 0.0775 1
```

3.
A relaxed Th2GaCo4Si3 crystal. Source: the Alexandria database, functional PBE-GGA.

ΔE_f (raw) (eV per atom): -0.71
Total magnetic moment (Bohr magnetons per cell): 0.0

```
data_Th2GaCo4Si3
_chemical_formula_sum 'Th2 Ga1 Co4 Si3'
_space_group_name_H-M_alt 'P -4 m 2'
_space_group_IT_number 115
_cell_length_a 4.0204
_cell_length_b 4.0204
_cell_length_c 9.7757
_cell_angle_alpha 90.00
_cell_angle_beta 90.00
_cell_angle_gamma 90.00
loop_
_space_group_symop_operation_xyz
'x,y,z'
'y,-x,-z'
'-x,-y,z'
'-y,x,-z'
'-x,y,z'
'-y,-x,-z'
'x,-y,z'
'y,x,-z'
loop_
_atom_site_label
_atom_site_fract_x
_atom_site_fract_y
_atom_site_fract_z
_atom_site_occupancy
Th1 0.0000 0.5000 0.2504 1
Ga1 0.0000 0.0000 0.5000 1
Co1 0.0000 0.0000 0.0000 1
Co2 0.0000 0.5000 0.6386 1
Co3 0.5000 0.5000 0.0000 1
Si1 0.0000 0.5000 0.8767 1
Si2 0.5000 0.5000 0.5000 1
```

4.
A relaxed V3GaRe crystal. Source: the Alexandria database, functional PBE-GGA.

Calculated formation energy (eV/atom): 1.405
Relative energy among the computed polymorphs (meV per atom): 301
Total magnetic moment (Bohr magnetons per cell): 1.3

```
data_V3GaRe
_chemical_formula_sum 'V3 Ga1 Re1'
_space_group_name_H-M_alt 'P m -3 m'
_space_group_IT_number 221
_space_group_name_Hall '-P 4 2 3'
_cell_length_a 4.3821
_cell_length_b 4.3821
_cell_length_c 4.3821
_cell_angle_alpha 90.00
_cell_angle_beta 90.00
_cell_angle_gamma 90.00
loop_
_atom_site_label
_atom_site_fract_x
_atom_site_fract_y
_atom_site_fract_z
_atom_site_occupancy
V1 0.0000 0.0000 0.5000 1
Ga1 0.0000 0.0000 0.0000 1
Re1 0.5000 0.5000 0.5000 1
```

5.
A relaxed KBeTlI4 crystal. Source: the Alexandria database, functional PBE-GGA.

ΔE_f (raw) (eV per atom): -0.85
Total magnetic moment (Bohr magnetons per cell): 0.0

```
data_KBeTlI4
_chemical_formula_sum 'K2 Be2 Tl2 I8'
_space_group_name_H-M_alt 'P 1 21/m 1'
_space_group_IT_number 11
_cell_length_a 7.7957
_cell_length_b 7.9207
_cell_length_c 9.7983
_cell_angle_alpha 90.00
_cell_angle_beta 108.31
_cell_angle_gamma 90.00
loop_
_space_group_symop_operation_xyz
'x,y,z'
'-x,-y,-z'
'-x,y+1/2,-z'
'x,-y+1/2,z'
loop_
_atom_site_label
_atom_site_fract_x
_atom_site_fract_y
_atom_site_fract_z
_atom_site_occupancy
K1 0.2205 0.2500 0.0502 1
Be1 0.2132 0.7500 0.7906 1
Tl1 0.2650 0.2500 0.5682 1
I1 0.0099 0.5065 0.7325 1
I2 0.3731 0.7500 0.0463 1
I3 0.4053 0.7500 0.6387 1
```

6.
A relaxed Li4Zn5Ag crystal. Source: the Alexandria database, functional PBE-GGA.

Calculated formation energy (eV/atom): -0.045
Relative energy among the computed polymorphs (meV per atom): 95
Total magnetic moment (Bohr magnetons per cell): 0.0

```
data_Li4Zn5Ag
_chemical_formula_sum 'Li8 Zn10 Ag2'
_space_group_name_H-M_alt 'I 4 m m'
_space_group_IT_number 107
_space_group_name_Hall 'I 4 -2'
_cell_length_a 8.5781
_cell_length_b 8.5781
_cell_length_c 4.9187
_cell_angle_alpha 90.00
_cell_angle_beta 90.00
_cell_angle_gamma 90.00
loop_
_atom_site_label
_atom_site_fract_x
_atom_site_fract_y
_atom_site_fract_z
_atom_site_occupancy
Li1 0.0000 0.2941 0.0000 1
Zn1 0.0000 0.0000 0.2552 1
Zn2 0.1937 0.1937 0.4925 1
Ag1 0.0000 0.0000 0.7636 1
```

7.
A relaxed ReSn3N crystal. Source: the Alexandria database, functional PBE-GGA.

ΔE_f (raw) (eV per atom): 1.14
Relative energy among the computed polymorphs (meV per atom): 118
Total magnetic moment (Bohr magnetons per cell): 2.0

```
data_ReSn3N
_chemical_formula_sum 'Re1 Sn3 N1'
_space_group_name_H-M_alt 'P m -3 m'
_space_group_IT_number 221
_space_group_name_Hall '-P 4 2 3'
_cell_length_a 5.1666
_cell_length_b 5.1666
_cell_length_c 5.1666
_cell_angle_alpha 90.00
_cell_angle_beta 90.00
_cell_angle_gamma 90.00
loop_
_atom_site_label
_atom_site_fract_x
_atom_site_fract_y
_atom_site_fract_z
_atom_site_occupancy
Re1 0.0000 0.0000 0.0000 1
Sn1 0.0000 0.0000 0.5000 1
N1 0.5000 0.5000 0.5000 1
```

8.
A relaxed Rb2NaHgCl5 crystal. Source: the Alexandria database, functional PBE-GGA.

ΔE_f (raw) (eV per atom): -1.45
Total magnetic moment (Bohr magnetons per cell): 0.0

```
data_Rb2NaHgCl5
_chemical_formula_sum 'Rb8 Na4 Hg4 Cl20'
_space_group_name_H-M_alt 'C m c 21'
_space_group_IT_number 36
_cell_length_a 4.3892
_cell_length_b 18.3673
_cell_length_c 14.1954
_cell_angle_alpha 90.00
_cell_angle_beta 90.00
_cell_angle_gamma 90.00
loop_
_space_group_symop_operation_xyz
'x,y,z'
'-x,-y,z+1/2'
'-x,y,z'
'x,-y,z+1/2'
'x+1/2,y+1/2,z'
'-x+1/2,-y+1/2,z+1/2'
'-x+1/2,y+1/2,z'
'x+1/2,-y+1/2,z+1/2'
loop_
_atom_site_label
_atom_site_fract_x
_atom_site_fract_y
_atom_site_fract_z
_atom_site_occupancy
Rb1 0.0000 0.0985 0.0000 1
Rb2 0.0000 0.1349 0.6181 1
Na1 0.0000 0.4419 0.7686 1
Hg1 0.0000 0.2199 0.3448 1
Cl1 0.0000 0.0792 0.3739 1
Cl2 0.0000 0.2739 0.9747 1
Cl3 0.0000 0.2997 0.7155 1
Cl4 0.0000 0.3572 0.3210 1
Cl5 0.0000 0.4970 0.1034 1
```

Which of these has the highest total magnetic moment?
ReSn3N